Computed, not measured: MgZn2Si after structural relaxation at the PBE level of DFT.

Cell: 4.5713 4.5713 4.5713 Å, 60.00 60.00 60.00°
Closest atoms and distances in Å follow each position.
Element x y z (fractional)
Si1 0.5000 0.5000 0.5000  8 Zn 2.80
Zn1 0.7500 0.7500 0.7500  4 Si 2.80, 4 Mg 2.80
Zn2 0.2500 0.2500 0.2500  4 Si 2.80, 4 Mg 2.80
Mg1 0.0000 0.0000 0.0000  8 Zn 2.80

Computed properties:
As for the total energy: -2.2209 eV/atom. The formation energy (no corrections) is 0.1705 eV per atom. For the total magnetic moment, the calculation gives 0.000 μB per atom. The value obtained for the offset from the most stable computed form is 0.1078 eV per atom. As for the space group: Fm-3m.